[1]
Entry from the Alexandria database: crystalline RhW at its relaxed geometry (GGA-PBE).

a b c (Å): 5.208 5.208 4.993
angles (deg): 90.00 90.00 90.00
Element x y z (fractional)
Rh (0.186, 0.814, 0.000)
Rh (0.686, 0.686, 0.500)
Rh (0.314, 0.314, 0.500)
Rh (0.814, 0.186, 0.000)
W (0.326, 0.326, 0.000)
W (0.826, 0.174, 0.500)
W (0.174, 0.826, 0.500)
W (0.674, 0.674, 0.000)

Electronic total energy, eV/atom: -9.454
Calculated formation energy, eV per formula unit: 1.40
SG: P4_2/mnm (136)



[2]
Entry from the Alexandria database: crystalline RhW3 at its relaxed geometry (GGA-PBE).

a b c (Å): 4.933 4.933 2.755
angles (deg): 90.00 90.00 110.01
Element x y z (fractional)
Rh (0.000, 0.000, 0.000)
W (0.000, 0.500, 0.500)
W (0.500, 0.000, 0.500)
W (0.500, 0.500, 0.000)

Electronic total energy, eV/atom: -11.409
Calculated formation energy, eV per formula unit: 0.57
SG: Cmmm (65)



[3]
Entry from the Alexandria database: crystalline RhW3 at its relaxed geometry (GGA-PBE).

a b c (Å): 4.489 5.009 5.611
angles (deg): 90.00 90.00 90.00
Element x y z (fractional)
Rh (0.000, 0.332, 0.000)
Rh (0.500, 0.668, 0.500)
W (0.500, 0.650, 0.000)
W (0.000, 0.848, 0.239)
W (0.500, 0.152, 0.261)
W (0.000, 0.350, 0.500)
W (0.000, 0.848, 0.761)
W (0.500, 0.152, 0.739)

Electronic total energy, eV/atom: -11.376
Calculated formation energy, eV per formula unit: 0.71
SG: Pmmn (59)